Density functional theory data (GGA-PBE) for a relaxed structure of K4Tm3ThTe8.

a b c (Å): 9.7513 9.7513 9.7513
angles (deg): 54.45 54.45 54.45
Closest atoms and distances in Å follow each position.
Element x y z (fractional)
K: 0.0000 0.0000 0.0000  6 Te 3.48
K: 0.0000 0.5000 0.5000  6 Te 3.54-3.55
K: 0.5000 0.0000 0.5000  6 Te 3.54-3.55
K: 0.5000 0.5000 0.0000  6 Te 3.54-3.55
Tm: 0.0000 0.0000 0.5000  6 Te 3.09
Tm: 0.0000 0.5000 0.0000  6 Te 3.09
Tm: 0.5000 0.0000 0.0000  6 Te 3.09
Th: 0.5000 0.5000 0.5000  6 Te 3.16
Te: 0.2302 0.7404 0.7404  2 Tm 3.09, 1 Th 3.16
Te: 0.2351 0.2351 0.2351  3 Tm 3.09
Te: 0.2596 0.2596 0.7698  2 Tm 3.09, 1 Th 3.16
Te: 0.2596 0.7698 0.2596  2 Tm 3.09, 1 Th 3.16
Te: 0.7404 0.2302 0.7404  2 Tm 3.09, 1 Th 3.16
Te: 0.7404 0.7404 0.2302  2 Tm 3.09, 1 Th 3.16
Te: 0.7649 0.7649 0.7649  3 Tm 3.09
Te: 0.7698 0.2596 0.2596  2 Tm 3.09, 1 Th 3.16

The value obtained for the density of states at the Fermi level is 0.30 states/eV/atom. Its total energy is -0.164 hartree per atom. Its calculated volume is 571 Å³/f.u. Its uncorrected formation energy is -1313 meV/atom.